# Ac3S3Cl2

An optimized crystal structure of Ac3S3Cl2 (PBE, Alexandria).

```
Ac3S3Cl2
1.0
-1.9993 2.3057 11.3115
1.9993 -2.3057 11.3115
1.9993 2.3057 -11.3115
Ac S Cl
3 3 2
direct
0.0000 0.0000 0.0000 Ac
0.3456 0.8456 0.5000 Ac
0.6544 0.1544 0.5000 Ac
0.1164 0.6164 0.5000 S
0.5000 0.5000 0.0000 S
0.8836 0.3836 0.5000 S
0.2457 0.2457 0.0000 Cl
0.7543 0.7543 0.0000 Cl
```

Computed properties:
For the raw formation energy, the calculation gives -2.010 eV per atom. The value obtained for the calculated total energy is -5.56 eV/atom.